## In2Pb2Se5 (GGA-PBE)

Data for a relaxed structure of In2Pb2Se5.

a = 4.2961 Å, b = 10.7752 Å, c = 7.9779 Å
α = 119.41°, β = 105.62°, γ = 90.00°
Sites, in units of the cell vectors:
Se 0.0000 0.0000 0.0000
Se 0.7951 0.1693 0.5901
Se 0.6244 0.4255 0.2487
In 0.7896 0.3989 0.5792
In 0.2104 0.6011 0.4208
Pb 0.4100 0.0890 0.8200
Se 0.3756 0.5745 0.7513
Pb 0.5900 0.9110 0.1800
Se 0.2049 0.8307 0.4099

Summary:
The total magnetic moment comes out at 0.000 μB/cell. Its total DFT energy (no corrections) is -3.84 eV/atom.